Li3V4FeO12: PBEsol geometry, SCAN.

ΔE_f (raw), eV/atom: -2.44
Energy relative to the lowest polymorph listed for this composition, eV per atom: 0.000
Calculated volume, A^3/atom: 11.1

Lattice parameters (Å, degrees): 10.4484 8.2550 5.5394 90.00 111.52 90.00
Space group C2 (No. 5)
Unique sites:
1 Li 0.0000 0.0000 0.0000 (multiplicity 2)
2 Li 0.0000 0.2090 0.5000 (multiplicity 2)
3 Li 0.0000 0.6357 0.0000 (multiplicity 2)
4 V 0.2241 0.3126 0.0259 (multiplicity 4)
5 V 0.2242 0.5233 0.5479 (multiplicity 4)
6 Fe 0.0000 0.8488 0.5000 (multiplicity 2)
7 O 0.1016 0.8158 0.8874 (multiplicity 4)
8 O 0.1064 0.0281 0.4314 (multiplicity 4)
9 O 0.1314 0.6935 0.4500 (multiplicity 4)
10 O 0.1446 0.3662 0.6958 (multiplicity 4)
11 O 0.1582 0.4327 0.2128 (multiplicity 4)
12 O 0.1860 0.1164 0.0691 (multiplicity 4)